{"formula": "Ba2RuCl", "functional": "GGA-PBE", "state": "relaxed", "n_ef_per_ev_cell": 1.738, "de_polymorph_mev_per_atom": 206.7, "m_tot_mub_per_cell": 0.00, "dft_energy_ev_per_atom": -4.062, "e_form_raw_kj_per_mol_atoms": -31, "cell": [[7.117, 0.000, 0.000], [0.000, 7.117, 0.000], [3.558, 3.558, 6.245]], "species": ["Ru", "Ru", "Ba", "Ba", "Ba", "Ba", "Cl", "Cl"], "fractional_positions": [[0.000, 0.000, 0.000], [0.750, 0.250, 0.500], [0.682, 0.125, 0.250], [0.068, 0.625, 0.250], [0.375, 0.318, 0.750], [0.875, 0.932, 0.750], [0.500, 0.500, 0.000], [0.250, 0.750, 0.500]]}